A:
An optimized crystal structure of La3FeBi, computed with PBE.

Cell: 6.283 6.283 12.279 Å, 75.18 75.18 90.00°
Fractional coordinates of all 10 atoms:
Bi  0.000  0.000  0.000
Bi  0.250  0.750  0.500
La  0.724  0.724  0.552
La  0.638  0.877  0.247
La  0.276  0.276  0.448
La  0.115  0.877  0.247
La  0.123  0.885  0.753
La  0.123  0.362  0.753
Fe  0.703  0.203  0.595
Fe  0.797  0.297  0.405

B:
An optimized crystal structure of La3FeBi, computed with PBE.

Cell: 15.542 6.868 6.868 Å, 138.69 138.76 41.24°
Fractional coordinates of all 10 atoms:
Fe  0.582  0.020  0.980
Fe  0.418  0.980  0.020
La  0.669  0.586  0.414
La  0.376  0.683  0.317
La  0.177  0.251  0.749
La  0.823  0.749  0.251
La  0.331  0.414  0.586
La  0.624  0.317  0.683
Bi  0.946  0.905  0.095
Bi  0.054  0.095  0.905

C:
An optimized crystal structure of La3FeBi, computed with PBE.

Cell: 7.261 7.362 7.505 Å, 119.39 107.58 59.59°
Fractional coordinates of all 10 atoms:
Fe  0.702  0.673  0.058
Fe  0.176  0.445  0.074
La  0.911  0.391  0.704
La  0.507  0.927  0.373
La  0.430  0.455  0.859
La  0.975  0.370  0.228
La  0.430  0.964  0.860
La  0.975  0.873  0.229
Bi  0.497  0.428  0.364
Bi  0.927  0.903  0.742

C is favored, and the nearest alternative lies 0.129 eV/atom above it.

A:
An optimized crystal structure of LaFeBi3, computed with PBE.

Cell: 6.102 6.102 6.102 Å, 90.00 90.00 90.00°
Fractional coordinates of all 5 atoms:
Fe  0.500  0.500  0.500
Bi  0.000  0.000  0.500
Bi  0.500  0.000  0.000
Bi  0.000  0.500  0.000
La  0.000  0.000  0.000

B:
An optimized crystal structure of LaFeBi3, computed with PBE.

Cell: 5.224 5.224 5.224 Å, 90.00 90.00 90.00°
Fractional coordinates of all 5 atoms:
Bi  0.500  0.000  0.000
Bi  0.000  0.000  0.500
Bi  0.000  0.500  0.000
La  0.500  0.500  0.500
Fe  0.000  0.000  0.000

B is favored, and the nearest alternative lies 1.411 eV/atom above it.

A:
An optimized crystal structure of LiFeBi3, computed with PBE.

Cell: 5.125 5.125 5.125 Å, 90.00 90.00 90.00°
Fractional coordinates of all 5 atoms:
Li  0.000  0.000  0.000
Bi  0.000  0.500  0.000
Bi  0.000  0.000  0.500
Bi  0.500  0.000  0.000
Fe  0.500  0.500  0.500

B:
An optimized crystal structure of LiFeBi3, computed with PBE.

Cell: 5.160 5.160 5.160 Å, 90.00 90.00 90.00°
Fractional coordinates of all 5 atoms:
Bi  0.000  0.500  0.000
Bi  0.500  0.000  0.000
Bi  0.000  0.000  0.500
Li  0.500  0.500  0.500
Fe  0.000  0.000  0.000

B is favored, and the nearest alternative lies 0.391 eV/atom above it.

A:
An optimized crystal structure of Mg14FeBi, computed with PBE.

Cell: 6.330 6.330 10.216 Å, 90.00 90.00 120.00°
Fractional coordinates of all 16 atoms:
Bi  0.000  0.000  0.500
Mg  0.498  0.502  0.500
Mg  0.667  0.333  0.747
Mg  0.164  0.328  0.765
Mg  0.503  0.497  0.000
Mg  0.004  0.502  0.500
Mg  0.164  0.836  0.765
Mg  0.164  0.328  0.235
Mg  0.994  0.497  0.000
Mg  0.164  0.836  0.235
Mg  0.498  0.996  0.500
Mg  0.667  0.333  0.253
Mg  0.503  0.006  0.000
Mg  0.672  0.836  0.765
Mg  0.672  0.836  0.235
Fe  0.000  0.000  0.000

B:
An optimized crystal structure of Mg14FeBi, computed with PBE.

Cell: 6.346 6.346 10.188 Å, 90.00 90.00 119.72°
Fractional coordinates of all 16 atoms:
Mg  0.676  0.845  0.742
Mg  0.676  0.845  0.258
Mg  0.672  0.328  0.262
Mg  0.155  0.324  0.258
Mg  0.163  0.837  0.756
Mg  0.335  0.665  0.000
Mg  0.336  0.171  0.000
Mg  0.672  0.328  0.738
Mg  0.163  0.837  0.244
Mg  0.332  0.165  0.500
Mg  0.155  0.324  0.742
Mg  0.829  0.664  0.000
Mg  0.835  0.668  0.500
Mg  0.833  0.167  0.000
Bi  0.329  0.671  0.500
Fe  0.840  0.160  0.500

A is favored, and the nearest alternative lies 0.013 eV/atom above it.

A:
An optimized crystal structure of MnFeBi2, computed with PBE.

Cell: 7.647 7.647 6.302 Å, 52.65 52.65 90.00°
Fractional coordinates of all 8 atoms:
Mn  0.500  0.500  0.000
Mn  0.250  0.750  0.500
Bi  0.375  0.360  0.750
Bi  0.875  0.890  0.750
Bi  0.640  0.125  0.250
Bi  0.110  0.625  0.250
Fe  0.000  0.000  0.000
Fe  0.750  0.250  0.500

B:
An optimized crystal structure of MnFeBi2, computed with PBE.

Cell: 4.683 4.683 4.683 Å, 60.00 60.00 60.00°
Fractional coordinates of all 4 atoms:
Mn  0.000  0.000  0.000
Bi  0.250  0.250  0.250
Bi  0.750  0.750  0.750
Fe  0.500  0.500  0.500

A is favored, and the nearest alternative lies 0.191 eV/atom above it.

A:
An optimized crystal structure of FeBi2Mo, computed with PBE.

Cell: 4.775 4.775 4.775 Å, 60.00 60.00 60.00°
Fractional coordinates of all 4 atoms:
Bi  0.250  0.250  0.250
Bi  0.750  0.750  0.750
Mo  0.500  0.500  0.500
Fe  0.000  0.000  0.000

B:
An optimized crystal structure of FeBi2Mo, computed with PBE.

Cell: 7.688 7.688 6.291 Å, 52.34 52.34 90.00°
Fractional coordinates of all 8 atoms:
Fe  0.500  0.500  0.000
Fe  0.250  0.750  0.500
Bi  0.150  0.625  0.250
Bi  0.600  0.125  0.250
Bi  0.375  0.400  0.750
Bi  0.875  0.850  0.750
Mo  0.000  0.000  0.000
Mo  0.750  0.250  0.500

A is favored, and the nearest alternative lies 0.260 eV/atom above it.

A:
An optimized crystal structure of FeBi2N, computed with PBE.

Cell: 5.872 5.872 6.804 Å, 64.44 64.44 90.00°
Fractional coordinates of all 8 atoms:
Fe  0.750  0.250  0.500
Fe  0.000  0.000  0.000
Bi  0.160  0.625  0.250
Bi  0.875  0.840  0.750
Bi  0.590  0.125  0.250
Bi  0.375  0.410  0.750
N  0.250  0.750  0.500
N  0.500  0.500  0.000

B:
An optimized crystal structure of FeBi2N, computed with PBE.

Cell: 4.745 4.745 4.745 Å, 60.00 60.00 60.00°
Fractional coordinates of all 4 atoms:
Bi  0.750  0.750  0.750
Bi  0.250  0.250  0.250
N  0.000  0.000  0.000
Fe  0.500  0.500  0.500

A is favored, and the nearest alternative lies 0.372 eV/atom above it.

A:
An optimized crystal structure of Fe2BiN, computed with PBE.

Cell: 5.166 5.166 5.822 Å, 63.66 63.66 90.00°
Fractional coordinates of all 8 atoms:
N  0.500  0.500  0.000
N  0.250  0.750  0.500
Fe  0.375  0.515  0.750
Fe  0.265  0.625  0.250
Fe  0.875  0.735  0.750
Fe  0.485  0.125  0.250
Bi  0.750  0.250  0.500
Bi  0.000  0.000  0.000

B:
An optimized crystal structure of Fe2BiN, computed with PBE.

Cell: 4.335 4.335 4.335 Å, 60.00 60.00 60.00°
Fractional coordinates of all 4 atoms:
Bi  0.500  0.500  0.500
N  0.000  0.000  0.000
Fe  0.750  0.750  0.750
Fe  0.250  0.250  0.250

A is favored, and the nearest alternative lies 0.942 eV/atom above it.